1.
## AcHoCdIn (GGA-PBE)

Data for an optimized crystal structure of AcHoCdIn.

The structure in extended XYZ format:
```
4
Lattice="5.5662 0.0000 0.0000 2.7831 4.8204 0.0000 2.7831 1.6068 4.5447" Properties=species:S:1:pos:R:3 pbc="T T T"
Ac 0.0000 0.0000 0.0000
Cd 8.3492 4.8204 3.4086
Ho 5.5662 3.2136 2.2724
In 2.7831 1.6068 1.1362
```

**Total magnetization**: 0.0 μB per cell
**Formation energy**: -0.337 eV per atom

2.
## Ac2HoCd4In3 (GGA-PBE)

Data for an optimized crystal structure of Ac2HoCd4In3.

The structure in extended XYZ format:
```
10
Lattice="4.7284 0.0000 0.0000 0.0000 4.7284 0.0000 0.0000 0.0000 12.8774" Properties=species:S:1:pos:R:3 pbc="T T T"
Ac 2.3642 0.0000 3.0299
Ac 0.0000 2.3642 9.8476
Ho 2.3642 2.3642 6.4387
Cd 2.3642 2.3642 0.0000
Cd 0.0000 0.0000 0.0000
Cd 2.3642 0.0000 8.3653
Cd 0.0000 2.3642 4.5122
In 0.0000 0.0000 6.4387
In 2.3642 0.0000 11.1595
In 0.0000 2.3642 1.7179
```

**Total magnetization**: 0.0 μB per cell
**Formation energy**: -0.310 eV per atom

3.
## AcLaHoCd (GGA-PBE)

Data for an optimized crystal structure of AcLaHoCd.

The structure in extended XYZ format:
```
4
Lattice="-2.6260 0.1449 2.7698 -2.6641 -1.1929 -2.4633 1.8448 -8.6679 2.2023" Properties=species:S:1:pos:R:3 pbc="T T T"
Ac 0.1533 -0.7204 0.1830
La -1.1951 -7.3368 1.8843
Ho -1.9756 -3.6697 0.9525
Cd 1.0196 -4.7907 1.2172
```

**Total magnetization**: 0.0 μB per cell
**Formation energy**: -0.137 eV per atom
**Energy above the lowest structure with this stoichiometry**: 0 meV per atom

4.
## AcLaHoCd (GGA-PBE)

Data for an optimized crystal structure of AcLaHoCd.

The structure in extended XYZ format:
```
4
Lattice="-0.4828 -5.6865 0.3452 3.1440 -2.9114 3.7852 -2.4967 -2.3856 4.5567" Properties=species:S:1:pos:R:3 pbc="T T T"
Ac 0.0411 -2.7459 2.1718
Cd 0.1234 -8.2376 6.5153
Ho 0.0822 -5.4918 4.3436
La 0.0000 0.0000 0.0000
```

**Total magnetization**: 0.0 μB per cell
**Formation energy**: 0.048 eV per atom
**Energy above the lowest structure with this stoichiometry**: 185 meV per atom

Question: The highest formation energy belongs to which entry?
Answer: number 4